# 1
Here is an optimized crystal structure of Sr10CuRu4O20 from the Alexandria database. Energies are from PBE.

abc: 8.9037 8.9037 8.9037
angles: 119.88 119.88 90.21
Closest atoms and distances in Å follow each position.
Element x y z (fractional)
O  0.8979  0.7920  0.6899  1 Ru 1.93, 1 Cu 2.07
O  0.0410  0.2411  0.6042  1 Ru 2.02
O  0.6032  0.6986  0.3018  2 Ru 1.97-2.02
O  0.3631  0.5632  0.6042  1 Ru 2.02
O  0.1021  0.2080  0.3101  1 Ru 1.93, 1 Cu 2.07
O  0.2411  0.6369  0.2000  1 Ru 2.02
O  0.5632  0.9590  0.2000  1 Ru 2.02
O  0.9590  0.7589  0.3958  1 Ru 2.02
O  0.7920  0.1021  0.8942  1 Ru 1.93, 1 Cu 2.07
O  0.3014  0.6032  0.9046  2 Ru 1.97-2.02
O  0.8373  0.8373  0.0000  1 Cu 2.04
O  0.2080  0.8979  0.1058  1 Ru 1.93, 1 Cu 2.07
O  0.3968  0.3014  0.6982  2 Ru 1.97-2.02
O  0.0000  0.5000  0.5000  2 Ru 1.99
O  0.7589  0.3631  0.8000  1 Ru 2.02
O  0.5000  0.0000  0.5000  2 Ru 1.99
O  0.1627  0.1627  0.0000  1 Cu 2.04
O  0.4368  0.0410  0.8000  1 Ru 2.02
O  0.6986  0.3968  0.0954  2 Ru 1.97-2.02
O  0.6369  0.4368  0.3958  1 Ru 2.02
Sr  0.5659  0.7609  0.6123  6 O 2.47-2.75
Sr  0.7609  0.1486  0.1950  6 O 2.47-2.75
Sr  0.6449  0.6449  0.0000  5 O 2.42-2.70
Sr  0.1486  0.9535  0.3877  6 O 2.47-2.75
Sr  0.4341  0.2391  0.3877  6 O 2.47-2.75
Sr  0.9535  0.5659  0.8050  6 O 2.47-2.75
Sr  0.8514  0.0465  0.6123  6 O 2.47-2.75
Sr  0.0465  0.4341  0.1950  6 O 2.47-2.75
Sr  0.3551  0.3551  0.0000  5 O 2.42-2.70
Sr  0.2391  0.8514  0.8050  6 O 2.47-2.75
Ru  0.5996  0.1997  0.7993  6 O 1.93-2.02
Ru  0.8003  0.5996  0.3999  6 O 1.93-2.02
Ru  0.4004  0.8003  0.2007  6 O 1.93-2.02
Ru  0.1997  0.4004  0.6001  6 O 1.93-2.02
Cu  0.0000  0.0000  0.0000  6 O 2.04-2.07

crystal system = tetragonal
magnetic moment = 0.32 μB/atom
N(E_F) = 7.97 states/eV/f.u.
VASP energy = -6.5427 eV/atom
density = 5.5 g/cm³
SG = No. 87
E_form (uncorrected) = -6929 kJ/mol of formula units

=====

# 2
Here is an optimized crystal structure of NiPb2W from the Alexandria database. Energies are from PBE.

abc: 5.2862 5.2862 5.2862
angles: 139.59 123.02 72.17
Closest atoms and distances in Å follow each position.
Element x y z (fractional)
W  0.2500  0.7500  0.5000  8 Pb 2.95-3.19, 4 Ni 3.11
Pb  0.5219  0.5219  0.0000  2 Ni 2.67, 2 W 2.95
Pb  0.9781  0.9781  0.0000  2 Ni 2.67, 2 W 2.95
Ni  0.7500  0.2500  0.5000  4 Pb 2.67

ΔE_f = 960 meV per atom
crystal system = orthorhombic
magnetic moment = 0.00 μB/atom
N(E_F) = 4.43 states/eV/f.u.
VASP energy = -5.5783 eV/atom
density = 13.9 g/cm³
SG = No. 71

=====

# 3
Here is an optimized crystal structure of CeYNiRh from the Alexandria database. Energies are from PBE.

abc: 3.6972 4.4872 5.3723
angles: 90.00 110.13 90.00
Closest atoms and distances in Å follow each position.
Element x y z (fractional)
Y  0.1368  0.0000  0.2737  3 Ni 2.82-2.89, 4 Rh 2.95
Ni  0.4166  0.0000  0.8333  3 Y 2.82-2.89, 2 Rh 2.83, 4 Ce 2.97
Rh  0.5882  0.5000  0.1765  3 Ce 2.72-2.97, 2 Ni 2.83, 4 Y 2.95
Ce  0.8583  0.5000  0.7166  3 Rh 2.72-2.97, 4 Ni 2.97

ΔE_f = -591 meV per atom
crystal system = orthorhombic
magnetic moment = 0.04 μB/atom
N(E_F) = 4.59 states/eV/f.u.
VASP energy = -6.9732 eV/atom
density = 7.8 g/cm³
SG = No. 38

=====

# 4
Here is an optimized crystal structure of LaHgBr from the Alexandria database. Energies are from PBE.

abc: 3.9590 3.9590 7.7719
angles: 90.00 90.00 120.00
Closest atoms and distances in Å follow each position.
Element x y z (fractional)
La  0.3333  0.6667  0.6774  3 Br 3.08, 3 Hg 3.25
Br  0.0000  0.0000  0.9428  3 La 3.08
Hg  0.6667  0.3333  0.3797  3 La 3.25

crystal system = trigonal
magnetic moment = 0.00 μB/atom
N(E_F) = 2.01 states/eV/f.u.
VASP energy = -3.1728 eV/atom
density = 6.6 g/cm³
SG = No. 156
E_form (uncorrected) = -252 kJ/mol of formula units

=====

# 5
Here is an optimized crystal structure of LiTbSmFe from the Alexandria database. Energies are from PBE.

abc: 4.9048 4.9048 4.9048
angles: 60.00 60.00 60.00
Closest atoms and distances in Å follow each position.
Element x y z (fractional)
Sm  0.5000  0.5000  0.5000  4 Fe 3.00, 4 Li 3.00
Li  0.7500  0.7500  0.7500  4 Sm 3.00, 4 Tb 3.00
Tb  0.0000  0.0000  0.0000  4 Li 3.00, 4 Fe 3.00
Fe  0.2500  0.2500  0.2500  4 Tb 3.00, 4 Sm 3.00

ΔE_f = 124 meV per atom
crystal system = cubic
magnetic moment = 0.00 μB/atom
N(E_F) = 2.94 states/eV/f.u.
VASP energy = -4.8072 eV/atom
density = 7.4 g/cm³
SG = No. 216

=====

# 6
Here is an optimized crystal structure of ZrGa3Ir3 from the Alexandria database. Energies are from PBE.

abc: 6.7010 6.7010 6.7010
angles: 90.00 90.00 90.00
Closest atoms and distances in Å follow each position.
Element x y z (fractional)
Ir  0.2500  0.0000  0.5000  4 Ga 2.37
Ir  0.0000  0.5000  0.7500  4 Ga 2.37
Ir  0.5000  0.7500  0.0000  4 Ga 2.37
Ir  0.0000  0.5000  0.2500  4 Ga 2.37
Ir  0.5000  0.2500  0.0000  4 Ga 2.37
Ir  0.7500  0.0000  0.5000  4 Ga 2.37
Ga  0.5000  0.0000  0.2500  4 Ir 2.37
Ga  0.7500  0.5000  0.0000  4 Ir 2.37
Ga  0.2500  0.5000  0.0000  4 Ir 2.37
Ga  0.0000  0.7500  0.5000  4 Ir 2.37
Ga  0.0000  0.2500  0.5000  4 Ir 2.37
Ga  0.5000  0.0000  0.7500  4 Ir 2.37
Zr  0.0000  0.0000  0.0000  12 Ir 3.75, 12 Ga 3.75
Zr  0.5000  0.5000  0.5000  12 Ga 3.75, 12 Ir 3.75

ΔE_f = 480 meV per atom
crystal system = cubic
magnetic moment = 0.15 μB/atom
N(E_F) = 8.07 states/eV/f.u.
VASP energy = -5.8359 eV/atom
density = 9.7 g/cm³
SG = No. 223

=====

# 7
Here is an optimized crystal structure of Pr3TmGe6 from the Alexandria database. Energies are from PBE.

abc: 7.8947 7.8947 7.8947
angles: 98.13 98.13 98.13
Closest atoms and distances in Å follow each position.
Element x y z (fractional)
Ge  0.0888  0.3757  0.0142  2 Ge 2.56-2.59
Ge  0.1244  0.4113  0.4858  2 Ge 2.56-2.59
Ge  0.5142  0.8756  0.5887  2 Ge 2.56-2.59
Ge  0.4858  0.1244  0.4113  2 Ge 2.56-2.59
Ge  0.9112  0.6243  0.9858  2 Ge 2.56-2.59
Ge  0.9858  0.9112  0.6243  2 Ge 2.56-2.59
Ge  0.5887  0.5142  0.8756  2 Ge 2.56-2.59
Ge  0.0142  0.0888  0.3757  2 Ge 2.56-2.59
Ge  0.4113  0.4858  0.1244  2 Ge 2.56-2.59
Ge  0.8756  0.5887  0.5142  2 Ge 2.56-2.59
Ge  0.3757  0.0142  0.0888  2 Ge 2.56-2.59
Ge  0.6243  0.9858  0.9112  2 Ge 2.56-2.59
Pr  0.7500  0.3169  0.1831  10 Ge 3.08-3.45
Pr  0.8169  0.2500  0.6831  10 Ge 3.08-3.45
Pr  0.6831  0.8169  0.2500  10 Ge 3.08-3.45
Pr  0.2500  0.6831  0.8169  10 Ge 3.08-3.45
Pr  0.1831  0.7500  0.3169  10 Ge 3.08-3.45
Pr  0.3169  0.1831  0.7500  10 Ge 3.08-3.45
Tm  0.5000  0.5000  0.5000  6 Ge 2.93
Tm  0.0000  0.0000  0.0000  6 Ge 2.93

ΔE_f = -685 meV per atom
crystal system = trigonal
magnetic moment = 0.00 μB/atom
N(E_F) = 6.17 states/eV/f.u.
VASP energy = -5.3360 eV/atom
density = 7.2 g/cm³
SG = No. 167

=====

# 8
Here is an optimized crystal structure of Li5Cl from the Alexandria database. Energies are from PBE.

abc: 6.6318 6.6318 3.4021
angles: 90.00 90.00 120.00
Closest atoms and distances in Å follow each position.
Element x y z (fractional)
Cl  0.0000  0.0000  0.5000  6 Li 2.48
Li  0.7271  0.0000  0.0000  2 Cl 2.48
Li  0.2729  0.2729  0.0000  2 Cl 2.48
Li  0.0000  0.7271  0.0000  2 Cl 2.48
Li  0.6667  0.3333  0.5000  6 Li 2.97
Li  0.3333  0.6667  0.5000  6 Li 2.97

crystal system = hexagonal
magnetic moment = 0.00 μB/atom
N(E_F) = 2.46 states/eV/f.u.
VASP energy = -2.3001 eV/atom
density = 0.9 g/cm³
SG = No. 189
E_form (uncorrected) = -230 kJ/mol of formula units

=====

# 9
Here is an optimized crystal structure of Ce4PuSe7 from the Alexandria database. Energies are from PBE.

abc: 4.1197 7.2015 12.3727
angles: 104.70 90.00 106.62
Closest atoms and distances in Å follow each position.
Element x y z (fractional)
Se  0.0415  0.0830  0.7806  3 Ce 2.88-2.96, 1 Pu 2.90
Se  0.2641  0.5281  0.6518  2 Pu 2.93, 3 Ce 2.98-3.11
Se  0.9624  0.9249  0.2147  4 Ce 2.88-2.95
Se  0.3433  0.6865  0.9516  5 Ce 2.96-3.25
Se  0.4870  0.9741  0.4881  2 Pu 2.89, 2 Ce 2.92
Se  0.7342  0.4684  0.3505  4 Ce 2.96-3.11, 1 Pu 2.97
Se  0.6624  0.3249  0.0528  5 Ce 2.96-3.20
Pu  0.8810  0.7620  0.5745  6 Se 2.89-2.97
Ce  0.7000  0.4001  0.8084  7 Se 2.96-3.20
Ce  0.3069  0.6138  0.2006  7 Se 2.95-3.25
Ce  0.1141  0.2283  0.4285  6 Se 2.91-2.98
Ce  0.0030  0.0060  0.9981  6 Se 2.88-2.96

crystal system = monoclinic
magnetic moment = 0.66 μB/atom
N(E_F) = 35.74 states/eV/f.u.
VASP energy = -6.9449 eV/atom
density = 6.6 g/cm³
SG = No. 8
E_form (uncorrected) = -2015 kJ/mol of formula units

=====

# 10
Here is an optimized crystal structure of V3SiBi from the Alexandria database. Energies are from PBE.

abc: 5.1140 5.1140 5.1140
angles: 90.00 90.00 90.00
Closest atoms and distances in Å follow each position.
Element x y z (fractional)
Si  0.5000  0.5000  0.5000  12 V 3.62
V  0.5000  0.0000  0.0000  2 Bi 2.56
V  0.0000  0.5000  0.0000  2 Bi 2.56
V  0.0000  0.0000  0.5000  2 Bi 2.56
Bi  0.0000  0.0000  0.0000  6 V 2.56

crystal system = cubic
magnetic moment = 1.64 μB/atom
N(E_F) = 10.85 states/eV/f.u.
VASP energy = -5.5805 eV/atom
density = 4.8 g/cm³
SG = No. 221
E_form (uncorrected) = 845 kJ/mol of formula units

=====

# 11
Here is an optimized crystal structure of LiMnAu from the Alexandria database. Energies are from PBE.

abc: 4.8448 4.8448 4.8448
angles: 139.78 139.78 58.19
Closest atoms and distances in Å follow each position.
Element x y z (fractional)
Mn  0.6634  0.6634  0.0000  5 Au 2.74-2.84, 5 Li 2.75-2.78
Au  0.9985  0.9985  0.0000  5 Li 2.72-2.88, 5 Mn 2.74-2.84
Li  0.3381  0.3381  0.0000  5 Au 2.72-2.88, 5 Mn 2.75-2.78

ΔE_f = -101 meV per atom
crystal system = tetragonal
magnetic moment = 1.35 μB/atom
N(E_F) = 0.98 states/eV/f.u.
VASP energy = -4.8877 eV/atom
density = 9.1 g/cm³
SG = No. 107

=====

# 12
Here is an optimized crystal structure of DyMg8Pt2 from the Alexandria database. Energies are from PBE.

abc: 5.1967 7.3170 7.3170
angles: 111.94 82.38 82.38
Closest atoms and distances in Å follow each position.
Element x y z (fractional)
Dy  0.5000  0.0000  0.0000  12 Mg 3.25-3.43
Mg  0.0766  0.9313  0.6716  2 Pt 2.69
Mg  0.0766  0.6716  0.9313  2 Pt 2.69
Mg  0.7227  0.5916  0.5916  2 Pt 2.73, 2 Mg 2.92-3.04
Mg  0.9234  0.3284  0.0687  2 Pt 2.69
Mg  0.5000  0.7324  0.2676  2 Pt 2.65
Mg  0.5000  0.2676  0.7324  2 Pt 2.65
Mg  0.9234  0.0687  0.3284  2 Pt 2.69
Mg  0.2773  0.4084  0.4084  2 Pt 2.73, 2 Mg 2.92-3.04
Pt  0.0000  0.6902  0.3098  8 Mg 2.65-2.73
Pt  0.0000  0.3098  0.6902  8 Mg 2.65-2.73

ΔE_f = -327 meV per atom
crystal system = monoclinic
magnetic moment = 0.00 μB/atom
N(E_F) = 6.20 states/eV/f.u.
VASP energy = -3.0030 eV/atom
density = 4.9 g/cm³
SG = No. 12

=====

Question: What is the density in the ninth record?
Answer: 6.6 g/cm³

=====

Question: What is the VASP energy in the twelfth record?
Answer: -3.0030 eV/atom